[1]
LiCu2PO4 | PBEsol | relaxed

Spin magnetization in μB/atom: 0.000
Uncorrected energy in eV per atom: -6.195
Calculated volume in Å³ per atom: 10.50

a = 5.043 Å, b = 5.391 Å, c = 6.185 Å
α = 89.54°, β = 88.85°, γ = 88.85°
Fractional coordinates of all 16 atoms:
Li 0.000 0.000 0.000
Li 0.015 0.517 0.242
Cu 0.083 0.490 0.706
Cu 0.482 0.215 0.299
Cu 0.497 0.215 0.729
Cu 0.539 0.605 0.517
P 0.513 0.695 0.007
P 0.996 0.007 0.493
O 0.084 0.160 0.290
O 0.088 0.124 0.709
O 0.115 0.741 0.474
O 0.208 0.678 0.001
O 0.605 0.967 0.005
O 0.626 0.554 0.210
O 0.650 0.550 0.815
O 0.688 0.988 0.501

---

[2]
Co2ReHg | PBEsol | relaxed

Energy of formation from the pure elements in meV per atom: 584
Spin magnetization in μB/atom: 0.000
D(E_F) in states/eV/cell: 3.583
Uncorrected energy in eV per atom: -6.759
Calculated volume in Å³ per atom: 13.27

a = 4.773 Å, b = 4.773 Å, c = 4.773 Å
α = 135.29°, β = 135.29°, γ = 65.09°
Fractional coordinates of all 4 atoms:
Co 0.000 0.000 0.000
Co 0.750 0.250 0.500
Re 0.250 0.750 0.500
Hg 0.500 0.500 0.000

---

[3]
Sc3BeW | PBEsol | relaxed

Energy of formation from the pure elements in meV per atom: 1021
Spin magnetization in μB/atom: 0.000
D(E_F) in states/eV/cell: 5.462
Uncorrected energy in eV per atom: -6.504
Calculated volume in Å³ per atom: 24.68

a = 4.978 Å, b = 4.978 Å, c = 4.978 Å
α = 90.00°, β = 90.00°, γ = 90.00°
Fractional coordinates of all 5 atoms:
Sc 0.000 0.000 0.500
Sc 0.000 0.500 0.000
Sc 0.500 0.000 0.000
Be 0.500 0.500 0.500
W 0.000 0.000 0.000